SrH3Pt | GGA-PBE | optimized geometry

Results
Its total energy is -4.09 eV per atom. For the total magnetization, the calculation gives 0.00 μB/f.u.

Cell: 6.8789 5.6833 7.4906 Å, 90.00 122.94 90.00°
With the nearest neighbours (Å) after each atom.
Space group P2_1/c (No. 14)
One atom of each set of equivalent atoms:
Sr  0.2333  0.2492  0.3674 (multiplicity 4)  5 H 2.52-2.75
H  0.0426  0.6490  0.0202 (multiplicity 4)  1 Pt 1.64, 1 H 1.76
H  0.2896  0.7503  0.3944 (multiplicity 4)  2 Pt 1.88
H  0.4767  0.0202  0.7384 (multiplicity 4)  1 Pt 1.72
Pt  0.2927  0.7126  0.6459 (multiplicity 4)  2 H 1.64-1.72

---

Ce3CuAu | GGA-PBE | optimized geometry

Results
Its formation energy is -0.252 eV per atom. For the total magnetization, the calculation gives 1.38 μB/f.u.

Cell: 20.3373 4.4754 5.1580 Å, 90.00 95.86 90.00°
With the nearest neighbours (Å) after each atom.
Space group C2/m (No. 12)
One atom of each set of equivalent atoms:
Ce  0.0493  0.0000  0.2668 (multiplicity 4)  2 Ce 2.85, 2 Au 3.03
Ce  0.1362  0.5000  0.2889 (multiplicity 4)  2 Ce 2.85, 3 Cu 2.97-3.05, 2 Au 3.08-3.11
Ce  0.1739  0.0000  0.8255 (multiplicity 4)  4 Cu 2.84-3.08
Cu  0.2384  0.0000  0.3618 (multiplicity 4)  2 Cu 2.67, 3 Ce 2.84-2.97
Au  0.0515  0.5000  0.7583 (multiplicity 4)  8 Ce 3.03-3.38, 1 Au 3.22

---

La2Pr2Pt3 | GGA-PBE | optimized geometry

Results
Its formation energy is -0.999 eV per atom. For the total magnetization, the calculation gives 0.00 μB/f.u.

Cell: 9.1284 9.1284 9.1284 Å, 90.00 90.00 90.00°
With the nearest neighbours (Å) after each atom.
Space group I2_13 (No. 199)
One atom of each set of equivalent atoms:
La  0.1917  0.3083  0.6917 (multiplicity 8)  3 Pt 2.92
Pr  0.0603  0.0603  0.0603 (multiplicity 8)  3 Pt 2.95
Pt  0.0000  0.2500  0.3717 (multiplicity 12)  2 La 2.92, 2 Pr 2.95

---

Mg14CdSi | GGA-PBE | optimized geometry

Results
As for the polymorph energy (0 for the lowest one): 7.4 meV/atom. For the total magnetization, the calculation gives 0.00 μB/f.u. Its formation energy (no corrections) is 0.013 eV/atom.

Cell: 10.0377 6.4585 10.8745 Å, 90.00 90.00 90.00°
With the nearest neighbours (Å) after each atom.
Space group Amm2 (No. 38)
One atom of each set of equivalent atoms:
Mg  0.0000  0.0000  0.0000 (multiplicity 2)  12 Mg 3.13-3.24
Mg  0.0000  0.0000  0.4991 (multiplicity 2)  12 Mg 3.15-3.23
Mg  0.0000  0.2486  0.2469 (multiplicity 4)  12 Mg 3.13-3.25
Mg  0.2509  0.0000  0.8297 (multiplicity 4)  11 Mg 3.08-3.23, 1 Cd 3.10
Mg  0.2558  0.0000  0.3301 (multiplicity 4)  1 Si 3.02, 11 Mg 3.05-3.23
Mg  0.2648  0.2449  0.5769 (multiplicity 8)  1 Si 2.99, 1 Cd 3.00, 10 Mg 3.06-3.30
Mg  0.5000  0.2489  0.7555 (multiplicity 4)  2 Si 3.04-3.28, 8 Mg 3.05-3.24, 2 Cd 3.09-3.23
Cd  0.5000  0.0000  0.9986 (multiplicity 2)  10 Mg 3.00-3.23, 2 Si 3.23
Si  0.5000  0.0000  0.4922 (multiplicity 2)  10 Mg 2.99-3.28, 2 Cd 3.23

---

UFe4Mo | GGA-PBE | optimized geometry

Results
Its formation energy is 0.108 eV per atom. For the total magnetization, the calculation gives 3.08 μB/f.u.

Cell: 6.8504 6.8504 6.8504 Å, 90.00 90.00 90.00°
With the nearest neighbours (Å) after each atom.
Space group F-43m (No. 216)
One atom of each set of equivalent atoms:
U  0.0000  0.0000  0.0000 (multiplicity 4)  12 Fe 2.84, 4 Mo 2.97
Fe  0.1246  0.1246  0.6246 (multiplicity 16)  6 Fe 2.41-2.43
Mo  0.2500  0.2500  0.2500 (multiplicity 4)  12 Fe 2.84, 4 U 2.97

---

Ba2Na2Ga | GGA-PBE | optimized geometry

Results
Its formation energy is -0.070 eV per atom. As for the polymorph energy (0 for the lowest one): 92.4 meV/atom. For the total magnetization, the calculation gives 0.00 μB/f.u.

Cell: 4.3179 4.3179 22.0883 Å, 90.00 90.00 90.00°
With the nearest neighbours (Å) after each atom.
Space group I4/mmm (No. 139)
One atom of each set of equivalent atoms:
Ba  0.0000  0.0000  0.0861 (multiplicity 4)  4 Ga 3.60, 1 Ba 3.80
Na  0.0000  0.5000  0.2500 (multiplicity 4)  4 Na 3.05
Ga  0.0000  0.0000  0.5000 (multiplicity 2)  8 Ba 3.60

---

Nd2GdP | GGA-PBE | optimized geometry

Results
Its formation energy is -0.645 eV per atom. For the total magnetization, the calculation gives 8.74 μB/f.u.

Cell: 3.9565 3.9565 28.4193 Å, 90.00 90.00 120.00°
With the nearest neighbours (Å) after each atom.
Space group R-3m (No. 166, hexagonal axes)
One atom of each set of equivalent atoms:
Nd  0.0000  0.0000  0.2264 (multiplicity 6)  3 P 2.85
Gd  0.0000  0.0000  0.0000 (multiplicity 3)  6 Nd 3.80, 6 Gd 3.96
P  0.0000  0.0000  0.5000 (multiplicity 3)  6 Nd 2.85

---

ZrGeW3 | GGA-PBE | optimized geometry

Results
Its formation energy is 1.238 eV per atom. As for the polymorph energy (0 for the lowest one): 0.0 meV/atom. For the total magnetization, the calculation gives 0.00 μB/f.u.

Cell: 4.6320 4.6320 4.6320 Å, 90.00 90.00 90.00°
With the nearest neighbours (Å) after each atom.
Space group Pm-3m (No. 221)
One atom of each set of equivalent atoms:
Zr  0.0000  0.0000  0.0000 (multiplicity 1)  12 W 3.28
Ge  0.5000  0.5000  0.5000 (multiplicity 1)  6 W 2.32
W  0.0000  0.5000  0.5000 (multiplicity 3)  2 Ge 2.32

---

ZrGaCu | GGA-PBE | optimized geometry

Results
Its formation energy is -0.243 eV per atom. For the total magnetization, the calculation gives 0.00 μB/f.u.

Cell: 2.9518 4.9226 7.0350 Å, 97.10 90.21 90.01°
With the nearest neighbours (Å) after each atom.
Space group P1 (No. 1)
One atom of each set of equivalent atoms:
Zr  0.0000  0.0000  0.0000 (multiplicity 1)  6 Ga 2.90-3.00, 3 Zr 2.95-3.20, 3 Cu 2.95-2.97
Zr  0.0103  0.4375  0.7000 (multiplicity 1)  6 Ga 2.90-3.00, 3 Zr 2.95-3.20, 3 Cu 2.96-2.97
Ga  0.5042  0.5108  0.0715 (multiplicity 1)  3 Cu 2.56-2.57
Ga  0.5068  0.9268  0.6283 (multiplicity 1)  3 Cu 2.56-2.57
Cu  0.0066  0.7173  0.3501 (multiplicity 1)  4 Ga 2.56-2.57, 1 Cu 2.87
Cu  0.5058  0.2182  0.3500 (multiplicity 1)  2 Ga 2.57, 3 Cu 2.87

---

Hf4ThPa | GGA-PBE | optimized geometry

Results
Its formation energy is 0.272 eV per atom. For the total magnetization, the calculation gives 0.00 μB/f.u.

Cell: 8.4006 8.4006 8.4006 Å, 90.00 90.00 90.00°
With the nearest neighbours (Å) after each atom.
Space group F-43m (No. 216)
One atom of each set of equivalent atoms:
Hf  0.1242  0.1242  0.1242 (multiplicity 16)  6 Hf 2.95-2.99
Th  0.0000  0.0000  0.5000 (multiplicity 4)  12 Hf 3.48, 4 Pa 3.64
Pa  0.2500  0.2500  0.7500 (multiplicity 4)  12 Hf 3.48, 4 Th 3.64

---

ZrPaPt2 | GGA-PBE | optimized geometry

Results
Its formation energy is -0.863 eV per atom. As for the polymorph energy (0 for the lowest one): 112.3 meV/atom. For the total magnetization, the calculation gives 0.00 μB/f.u.

Cell: 3.3555 3.3555 7.1469 Å, 90.00 90.00 90.00°
With the nearest neighbours (Å) after each atom.
Space group P4/mmm (No. 123)
One atom of each set of equivalent atoms:
Zr  0.0000  0.0000  0.0000 (multiplicity 1)  8 Pt 2.86
Pa  0.0000  0.0000  0.5000 (multiplicity 1)  8 Pt 3.08, 4 Pa 3.36
Pt  0.5000  0.5000  0.2241 (multiplicity 2)  4 Zr 2.86, 4 Pa 3.08, 1 Pt 3.20

---

HfP2HO | GGA-PBE | optimized geometry

Results
As for the polymorph energy (0 for the lowest one): 0.0 meV/atom. For the total magnetization, the calculation gives 0.00 μB/f.u.

Cell: 3.3764 3.3764 4.8902 Å, 90.00 90.00 90.00°
With the nearest neighbours (Å) after each atom.
Space group P4/mmm (No. 123)
One atom of each set of equivalent atoms:
Hf  0.0000  0.0000  0.0000 (multiplicity 1)  4 O 2.39
P  0.0000  0.5000  0.5000 (multiplicity 2)  2 H 1.69
H  0.5000  0.5000  0.5000 (multiplicity 1)  4 P 1.69
O  0.5000  0.5000  0.0000 (multiplicity 1)  4 Hf 2.39, 2 H 2.45

---

HfBeFe3 | GGA-PBE | optimized geometry

Results
Its formation energy is 1.782 eV per atom. As for the polymorph energy (0 for the lowest one): 1662.5 meV/atom. For the total magnetization, the calculation gives 5.53 μB/f.u.

Cell: 4.5236 4.5236 4.5236 Å, 90.00 90.00 90.00°
With the nearest neighbours (Å) after each atom.
Space group Pm-3m (No. 221)
One atom of each set of equivalent atoms:
Hf  0.0000  0.0000  0.0000 (multiplicity 1)  6 Fe 2.26
Be  0.5000  0.5000  0.5000 (multiplicity 1)  12 Fe 3.20
Fe  0.0000  0.0000  0.5000 (multiplicity 3)  2 Hf 2.26